# PBE Sr3Si2Ge2, relaxed
# SG: C2/m
# Total DFT energy (no corrections) in eV for the cell shown: -56.96
# Total moment in μB/cell: 0.00
# ΔE_f (raw) in eV/atom: -0.479
data_Sr3Si2Ge2
_chemical_formula_sum 'Sr6 Si4 Ge4'
_cell_length_a 11.4889
_cell_length_b 4.6332
_cell_length_c 8.0051
_cell_angle_alpha 90.00
_cell_angle_beta 117.33
_cell_angle_gamma 90.00
_space_group_name_H-M_alt 'P 1'
_space_group_IT_number 1
_space_group_name_Hall 'P 1'
loop_
_atom_site_label
_atom_site_type_symbol
_atom_site_fract_x
_atom_site_fract_y
_atom_site_fract_z
Sr1 Sr 0.0000 0.0000 0.0000
Sr2 Sr 0.1806 0.0000 0.6333
Sr3 Sr 0.3194 0.5000 0.3667
Sr4 Sr 0.5000 0.5000 0.0000
Sr5 Sr 0.6806 0.5000 0.6333
Sr6 Sr 0.8194 0.0000 0.3667
Si1 Si 0.2002 0.5000 0.9327
Si2 Si 0.2998 0.0000 0.0673
Si3 Si 0.7002 0.0000 0.9327
Si4 Si 0.7998 0.5000 0.0673
Ge1 Ge 0.0172 0.5000 0.3376
Ge2 Ge 0.4828 0.0000 0.6624
Ge3 Ge 0.5172 0.0000 0.3376
Ge4 Ge 0.9828 0.5000 0.6624